# GGA-PBE PuAlNi, relaxed
# symmetry: P-62m, No. 189
# calculated formation energy: 0.21 eV/atom
data_PuAlNi
_space_group_name_H-M_alt 'P 1'
_space_group_IT_number 1
_space_group_name_Hall 'P 1'
_cell_length_a 6.478
_cell_length_b 6.478
_cell_length_c 4.094
_cell_angle_alpha 90.00
_cell_angle_beta 90.00
_cell_angle_gamma 120.00
loop_
_atom_site_label
_atom_site_type_symbol
_atom_site_fract_x
_atom_site_fract_y
_atom_site_fract_z
Pu1 Pu 0.000 0.569 0.000
Pu2 Pu 0.431 0.431 0.000
Pu3 Pu 0.569 0.000 0.000
Al1 Al 0.000 0.237 0.500
Al2 Al 0.237 0.000 0.500
Al3 Al 0.763 0.763 0.500
Ni1 Ni 0.000 0.000 0.000
Ni2 Ni 0.333 0.667 0.500
Ni3 Ni 0.667 0.333 0.500

=====

# GGA-PBE PuAl4Ni, relaxed
# symmetry: Pmma, No. 51
# calculated formation energy: -0.41 eV/atom
data_PuAl4Ni
_space_group_name_H-M_alt 'P 1'
_space_group_IT_number 1
_space_group_name_Hall 'P 1'
_cell_length_a 7.580
_cell_length_b 4.011
_cell_length_c 6.797
_cell_angle_alpha 90.00
_cell_angle_beta 90.00
_cell_angle_gamma 90.00
loop_
_atom_site_label
_atom_site_type_symbol
_atom_site_fract_x
_atom_site_fract_y
_atom_site_fract_z
Pu1 Pu 0.250 0.000 0.120
Pu2 Pu 0.750 0.000 0.880
Al1 Al 0.000 0.000 0.500
Al2 Al 0.065 0.500 0.808
Al3 Al 0.250 0.500 0.449
Al4 Al 0.435 0.500 0.808
Al5 Al 0.500 0.000 0.500
Al6 Al 0.565 0.500 0.192
Al7 Al 0.750 0.500 0.551
Al8 Al 0.935 0.500 0.192
Ni1 Ni 0.250 0.000 0.694
Ni2 Ni 0.750 0.000 0.306

=====

# GGA-PBE PuAl8Ni4, relaxed
# symmetry: I4/mmm, No. 139
# calculated formation energy: -0.53 eV/atom
data_PuAl8Ni4
_space_group_name_H-M_alt 'P 1'
_space_group_IT_number 1
_space_group_name_Hall 'P 1'
_cell_length_a 6.612
_cell_length_b 6.612
_cell_length_c 6.612
_cell_angle_alpha 98.40
_cell_angle_beta 98.40
_cell_angle_gamma 135.05
loop_
_atom_site_label
_atom_site_type_symbol
_atom_site_fract_x
_atom_site_fract_y
_atom_site_fract_z
Pu1 Pu 0.000 0.000 0.000
Al1 Al 0.000 0.343 0.343
Al2 Al 0.000 0.657 0.657
Al3 Al 0.279 0.500 0.779
Al4 Al 0.343 0.000 0.343
Al5 Al 0.500 0.279 0.779
Al6 Al 0.500 0.721 0.221
Al7 Al 0.657 0.000 0.657
Al8 Al 0.721 0.500 0.221
Ni1 Ni 0.000 0.000 0.500
Ni2 Ni 0.000 0.500 0.000
Ni3 Ni 0.500 0.000 0.000
Ni4 Ni 0.500 0.500 0.500

=====

# GGA-PBE Pu4Al16Ni3, relaxed
# symmetry: P4/mmm, No. 123
# calculated formation energy: -0.39 eV/atom
data_Pu4Al16Ni3
_space_group_name_H-M_alt 'P 1'
_space_group_IT_number 1
_space_group_name_Hall 'P 1'
_cell_length_a 6.059
_cell_length_b 6.059
_cell_length_c 11.109
_cell_angle_alpha 90.00
_cell_angle_beta 90.00
_cell_angle_gamma 90.00
loop_
_atom_site_label
_atom_site_type_symbol
_atom_site_fract_x
_atom_site_fract_y
_atom_site_fract_z
Pu1 Pu 0.000 0.500 0.190
Pu2 Pu 0.000 0.500 0.810
Pu3 Pu 0.500 0.000 0.190
Pu4 Pu 0.500 0.000 0.810
Al1 Al 0.000 0.000 0.200
Al2 Al 0.000 0.000 0.800
Al3 Al 0.222 0.222 0.000
Al4 Al 0.222 0.778 0.000
Al5 Al 0.248 0.248 0.380
Al6 Al 0.248 0.248 0.620
Al7 Al 0.248 0.752 0.380
Al8 Al 0.248 0.752 0.620
Al9 Al 0.500 0.500 0.218
Al10 Al 0.500 0.500 0.782
Al11 Al 0.752 0.248 0.380
Al12 Al 0.752 0.248 0.620
Al13 Al 0.752 0.752 0.380
Al14 Al 0.752 0.752 0.620
Al15 Al 0.778 0.222 0.000
Al16 Al 0.778 0.778 0.000
Ni1 Ni 0.000 0.500 0.500
Ni2 Ni 0.500 0.000 0.500
Ni3 Ni 0.500 0.500 0.000